Entry from the Alexandria database: TaVCo3 after structural relaxation (GGA-PBE).

Output
energy above the lowest structure with this stoichiometry	0	meV per atom
total DFT energy (no corrections)	-8.40	eV/atom
total moment	0.00	Bohr magnetons per cell
theoretical density	10.32	g cm⁻³
crystal system	orthorhombic
DOS(E_F)	1.256	states/eV/atom

```
TaVCo3
1.0
2.357 -6.339 0.000
2.357 6.339 0.000
0.000 0.000 4.404
Ta V Co
2 2 6
Cartesian
2.357 3.821 3.303 Ta
2.357 -3.821 1.101 Ta
2.357 0.769 1.101 V
2.357 -0.769 3.303 V
0.000 0.000 0.000 Co
0.000 0.000 2.202 Co
1.217 1.644 3.303 Co
1.217 -1.644 1.101 Co
3.497 1.644 3.303 Co
3.497 -1.644 1.101 Co
```